Arrangement i

The following is a DFT calculation (GGA-PBE) of an optimized crystal structure of K2Hg2Se3.

Results
total moment = 0.00 μB per formula unit

abc: 16.870 15.588 7.653
angles: 90.00 116.97 90.00
Space group C2/c (No. 15)
Inequivalent atoms, fractional coordinates:
K 0.000 0.069 0.250
K 0.000 0.215 0.750
K 0.114 0.412 0.619
Hg 0.178 0.230 0.249
Hg 0.219 0.076 0.804
Se 0.110 0.378 0.062
Se 0.141 0.212 0.561
Se 0.154 0.072 0.077



Arrangement ii

The following is a DFT calculation (GGA-PBE) of an optimized crystal structure of K2Hg2Se3.

Results
total moment = 0.00 μB per formula unit

abc: 15.154 4.522 7.913
angles: 90.00 118.61 90.00
Space group C2/m (No. 12)
Inequivalent atoms, fractional coordinates:
K 0.092 0.000 0.339
Hg 0.185 0.500 0.800
Se 0.000 0.500 0.500
Se 0.203 0.500 0.170



Winner for stability: arrangement i



Arrangement i

The following is a DFT calculation (GGA-PBE) of an optimized crystal structure of K3Hg2Se4.

Results
total moment = 0.00 μB per formula unit

abc: 14.440 4.304 10.095
angles: 90.00 117.53 90.00
Space group C2/m (No. 12)
Inequivalent atoms, fractional coordinates:
K 0.000 0.000 0.000
K 0.114 0.500 0.706
Hg 0.171 0.500 0.321
Se 0.102 0.000 0.414
Se 0.202 0.500 0.087



Arrangement ii

The following is a DFT calculation (GGA-PBE) of an optimized crystal structure of K3Hg2Se4.

Results
total moment = 0.00 μB per formula unit

abc: 17.374 4.622 7.461
angles: 90.00 110.97 90.00
Space group C2/m (No. 12)
Inequivalent atoms, fractional coordinates:
K 0.000 0.000 0.000
K 0.133 0.000 0.559
Hg 0.161 0.500 0.977
Se 0.013 0.500 0.696
Se 0.212 0.000 0.192



Winner for stability: arrangement ii



Arrangement i

The following is a DFT calculation (GGA-PBE) of an optimized crystal structure of KHg3Se.

Results
total moment = 0.00 μB per formula unit

abc: 5.680 5.680 5.680
angles: 90.00 90.00 90.00
Space group Pm-3m (No. 221)
Inequivalent atoms, fractional coordinates:
K 0.000 0.000 0.000
Hg 0.000 0.500 0.500
Se 0.500 0.500 0.500



Arrangement ii

The following is a DFT calculation (GGA-PBE) of an optimized crystal structure of KHg3Se.

Results
total moment = 1.00 μB per formula unit

abc: 6.370 6.370 6.370
angles: 90.00 90.00 90.00
Space group Pm-3m (No. 221)
Inequivalent atoms, fractional coordinates:
K 0.000 0.000 0.000
Hg 0.000 0.000 0.500
Se 0.500 0.500 0.500



Winner for stability: arrangement i



Arrangement i

The following is a DFT calculation (GGA-PBE) of an optimized crystal structure of KSiHg3.

Results
total moment = 0.00 μB per formula unit

abc: 5.355 5.355 5.355
angles: 90.00 90.00 90.00
Space group Pm-3m (No. 221)
Inequivalent atoms, fractional coordinates:
K 0.000 0.000 0.000
Si 0.500 0.500 0.500
Hg 0.000 0.500 0.500



Arrangement ii

The following is a DFT calculation (GGA-PBE) of an optimized crystal structure of KSiHg3.

Results
total moment = 2.90 μB per formula unit

abc: 6.426 6.426 6.426
angles: 90.00 90.00 90.00
Space group Pm-3m (No. 221)
Inequivalent atoms, fractional coordinates:
K 0.000 0.000 0.000
Si 0.500 0.500 0.500
Hg 0.000 0.000 0.500



Winner for stability: arrangement i



Arrangement i

The following is a DFT calculation (GGA-PBE) of an optimized crystal structure of KSnHg3.

Results
total moment = 2.30 μB per formula unit

abc: 6.189 6.189 6.189
angles: 90.00 90.00 90.00
Space group Pm-3m (No. 221)
Inequivalent atoms, fractional coordinates:
K 0.000 0.000 0.000
Sn 0.500 0.500 0.500
Hg 0.000 0.000 0.500



Arrangement ii

The following is a DFT calculation (GGA-PBE) of an optimized crystal structure of KSnHg3.

Results
total moment = 0.00 μB per formula unit

abc: 5.807 5.807 5.807
angles: 90.00 90.00 90.00
Space group Pm-3m (No. 221)
Inequivalent atoms, fractional coordinates:
K 0.000 0.000 0.000
Sn 0.500 0.500 0.500
Hg 0.000 0.500 0.500



Arrangement iii

The following is a DFT calculation (GGA-PBE) of an optimized crystal structure of KSnHg3.

Results
total moment = 0.00 μB per formula unit

abc: 7.233 10.957 8.018
angles: 90.00 90.00 90.00
Space group Cmcm (No. 63)
Inequivalent atoms, fractional coordinates:
K 0.000 0.240 0.250
Sn 0.000 0.378 0.750
Hg 0.000 0.116 0.750
Hg 0.243 0.500 0.000



Arrangement iv

The following is a DFT calculation (GGA-PBE) of an optimized crystal structure of KSnHg3.

Results
total moment = 0.00 μB per formula unit

abc: 5.446 5.446 10.884
angles: 90.00 90.00 90.00
Space group I4mm (No. 107)
Inequivalent atoms, fractional coordinates:
K 0.000 0.000 0.000
Sn 0.000 0.000 0.640
Hg 0.000 0.000 0.374
Hg 0.000 0.500 0.241



Winner for stability: arrangement iv



Arrangement i

The following is a DFT calculation (GGA-PBE) of an optimized crystal structure of K2Sn2Hg.

Results
total moment = 0.00 μB per formula unit

abc: 4.302 4.302 20.962
angles: 90.00 90.00 90.00
Space group I4/mmm (No. 139)
Inequivalent atoms, fractional coordinates:
K 0.000 0.000 0.104
Sn 0.000 0.500 0.250
Hg 0.000 0.000 0.500



Arrangement ii

The following is a DFT calculation (GGA-PBE) of an optimized crystal structure of K2Sn2Hg.

Results
total moment = 0.00 μB per formula unit

abc: 4.890 4.890 15.306
angles: 90.00 90.00 90.00
Space group I4/mmm (No. 139)
Inequivalent atoms, fractional coordinates:
K 0.000 0.500 0.250
Sn 0.000 0.000 0.088
Hg 0.000 0.000 0.500



Winner for stability: arrangement i



Arrangement i

The following is a DFT calculation (GGA-PBE) of an optimized crystal structure of K2Sn2Hg.

Results
total moment = 0.00 μB per formula unit

abc: 12.250 5.288 12.147
angles: 90.00 116.63 90.00
Space group C2/m (No. 12)
Inequivalent atoms, fractional coordinates:
K 0.081 0.000 0.379
K 0.186 0.500 0.188
Sn 0.094 0.000 0.958
Sn 0.116 0.500 0.598
Hg 0.127 0.500 0.849



Arrangement ii

The following is a DFT calculation (GGA-PBE) of an optimized crystal structure of K2Sn2Hg.

Results
total moment = 0.00 μB per formula unit

abc: 10.227 10.227 3.705
angles: 90.00 90.00 90.00
Space group P4/mbm (No. 127)
Inequivalent atoms, fractional coordinates:
K 0.199 0.301 0.000
Sn 0.095 0.595 0.500
Hg 0.000 0.000 0.500



Winner for stability: arrangement i



Arrangement i

The following is a DFT calculation (GGA-PBE) of an optimized crystal structure of KSnHg.

Results
total moment = 0.00 μB per formula unit

abc: 4.470 6.713 7.902
angles: 99.07 106.34 109.33
Space group P-1 (No. 2)
Inequivalent atoms, fractional coordinates:
K 0.213 0.144 0.279
Sn 0.368 0.660 0.077
Hg 0.023 0.393 0.651



Arrangement ii

The following is a DFT calculation (GGA-PBE) of an optimized crystal structure of KSnHg.

Results
total moment = 0.00 μB per formula unit

abc: 4.037 4.037 12.399
angles: 90.00 90.00 90.00
Space group I4mm (No. 107)
Inequivalent atoms, fractional coordinates:
K 0.000 0.000 0.000
Sn 0.000 0.000 0.291
Hg 0.000 0.000 0.701



Winner for stability: arrangement i